This record from OQMD via LeMat-Bulk describes a geometry-optimized Al2W structure. The functional is PBE.

Unit cell a=6.873 b=6.873 c=2.689 alpha=90.00 beta=90.00 gamma=90.00
Element x y z (fractional)
Al  0.264  0.264  0.000
Al  0.736  0.736  0.000
W  0.500  0.500  0.500
W  0.000  0.000  0.000
Al  0.764  0.236  0.500
Al  0.236  0.764  0.500

Calculated values
- Electronic total energy: -6.315 eV per atom
- Symmetry: P4_2/mnm (136)
- Calculated density: 6.2 g/cm³
- Crystal system: tetragonal



This record from OQMD via LeMat-Bulk describes a geometry-optimized Al2W structure. The functional is PBE.

Unit cell a=9.659 b=9.659 c=5.063 alpha=90.00 beta=90.00 gamma=90.00
Element x y z (fractional)
Al  0.815  0.815  0.751
Al  0.260  0.945  0.000
Al  0.402  0.402  0.000
Al  0.945  0.260  0.000
W  0.371  0.977  0.500
Al  0.445  0.240  0.500
Al  0.685  0.315  0.749
Al  0.555  0.760  0.500
Al  0.315  0.685  0.251
Al  0.740  0.055  0.000
Al  0.098  0.902  0.500
Al  0.185  0.185  0.249
W  0.477  0.129  0.000
Al  0.685  0.315  0.251
W  0.500  0.500  0.500
Al  0.240  0.445  0.500
W  0.000  0.000  0.000
W  0.629  0.023  0.500
Al  0.815  0.815  0.249
Al  0.902  0.098  0.500
W  0.977  0.371  0.500
W  0.871  0.523  0.000
W  0.023  0.629  0.500
Al  0.055  0.740  0.000
Al  0.598  0.598  0.000
W  0.523  0.871  0.000
Al  0.185  0.185  0.751
Al  0.760  0.555  0.500
W  0.129  0.477  0.000
Al  0.315  0.685  0.749

Calculated values
- Electronic total energy: -6.714 eV per atom
- Symmetry: P4_2/mnm (136)
- Calculated density: 8.4 g/cm³
- Crystal system: tetragonal



This record from OQMD via LeMat-Bulk describes a geometry-optimized AlW2 structure. The functional is PBE.

Unit cell a=9.642 b=9.642 c=5.161 alpha=90.00 beta=90.00 gamma=90.00
Element x y z (fractional)
W  0.260  0.929  0.000
Al  0.500  0.500  0.500
W  0.679  0.321  0.249
W  0.071  0.740  0.000
W  0.321  0.679  0.751
Al  0.959  0.364  0.500
Al  0.864  0.541  0.000
W  0.821  0.821  0.251
W  0.429  0.240  0.500
Al  0.000  0.000  0.000
W  0.321  0.679  0.249
Al  0.459  0.136  0.000
Al  0.541  0.864  0.000
Al  0.041  0.636  0.500
W  0.571  0.760  0.500
Al  0.636  0.041  0.500
W  0.097  0.903  0.500
W  0.903  0.097  0.500
W  0.821  0.821  0.749
W  0.179  0.179  0.251
W  0.597  0.597  0.000
Al  0.136  0.459  0.000
Al  0.364  0.959  0.500
W  0.740  0.071  0.000
W  0.403  0.403  0.000
W  0.760  0.571  0.500
W  0.929  0.260  0.000
W  0.679  0.321  0.751
W  0.240  0.429  0.500
W  0.179  0.179  0.749

Calculated values
- Electronic total energy: -9.766 eV per atom
- Symmetry: P4_2/mnm (136)
- Calculated density: 13.7 g/cm³
- Crystal system: tetragonal



> calculated density of number 1 (Al2W)?

6.2 g/cm³



Copy entry 3 word for word.
This record from OQMD via LeMat-Bulk describes a geometry-optimized AlW2 structure. The functional is PBE.

Unit cell a=9.642 b=9.642 c=5.161 alpha=90.00 beta=90.00 gamma=90.00
Element x y z (fractional)
W  0.260  0.929  0.000
Al  0.500  0.500  0.500
W  0.679  0.321  0.249
W  0.071  0.740  0.000
W  0.321  0.679  0.751
Al  0.959  0.364  0.500
Al  0.864  0.541  0.000
W  0.821  0.821  0.251
W  0.429  0.240  0.500
Al  0.000  0.000  0.000
W  0.321  0.679  0.249
Al  0.459  0.136  0.000
Al  0.541  0.864  0.000
Al  0.041  0.636  0.500
W  0.571  0.760  0.500
Al  0.636  0.041  0.500
W  0.097  0.903  0.500
W  0.903  0.097  0.500
W  0.821  0.821  0.749
W  0.179  0.179  0.251
W  0.597  0.597  0.000
Al  0.136  0.459  0.000
Al  0.364  0.959  0.500
W  0.740  0.071  0.000
W  0.403  0.403  0.000
W  0.760  0.571  0.500
W  0.929  0.260  0.000
W  0.679  0.321  0.751
W  0.240  0.429  0.500
W  0.179  0.179  0.749

Calculated values
- Electronic total energy: -9.766 eV per atom
- Symmetry: P4_2/mnm (136)
- Calculated density: 13.7 g/cm³
- Crystal system: tetragonal



> The lowest calculated density belongs to which entry?

number 1



What did the first record say?
This record from OQMD via LeMat-Bulk describes a geometry-optimized Al2W structure. The functional is PBE.

Unit cell a=6.873 b=6.873 c=2.689 alpha=90.00 beta=90.00 gamma=90.00
Element x y z (fractional)
Al  0.264  0.264  0.000
Al  0.736  0.736  0.000
W  0.500  0.500  0.500
W  0.000  0.000  0.000
Al  0.764  0.236  0.500
Al  0.236  0.764  0.500

Calculated values
- Electronic total energy: -6.315 eV per atom
- Symmetry: P4_2/mnm (136)
- Calculated density: 6.2 g/cm³
- Crystal system: tetragonal